A plane-wave DFT calculation with PBE was carried out for a relaxed structure of Pr2TlPb8.

Properties
- Energy of formation from the pure elements: -0.24 eV/atom
- E: -4.025 eV/atom

a = 4.8007 Å, b = 4.8007 Å, c = 15.4684 Å
α = 90.00°, β = 90.00°, γ = 90.00°
Sites, in units of the cell vectors:
Pr  0.0000  0.0000  0.1569
Pr  0.0000  0.0000  0.8431
Tl  0.0000  0.0000  0.5000
Pb  0.0000  0.5000  0.0000
Pb  0.0000  0.5000  0.3365
Pb  0.0000  0.5000  0.6635
Pb  0.5000  0.0000  0.0000
Pb  0.5000  0.0000  0.3365
Pb  0.5000  0.0000  0.6635
Pb  0.5000  0.5000  0.1780
Pb  0.5000  0.5000  0.8220